# 1
A relaxed structure of HfCdGe2. Source: OQMD, functional PBE.

Output
DFT total energy: -19.0 eV for the cell shown
crystal system: cubic
M_tot: 0.00 μB per atom

abc: 4.8597 4.8597 4.8597
angles: 60.00 60.00 60.00
With the nearest neighbours (Å) after each atom.
Fractional coordinates of all 4 atoms:
Cd 0.5000 0.5000 0.5000  4 Hf 2.98, 4 Ge 2.98
Ge 0.0000 0.0000 0.0000  4 Hf 2.98, 4 Ge 2.98
Ge 0.2500 0.2500 0.2500  4 Cd 2.98, 4 Ge 2.98
Hf 0.7500 0.7500 0.7500  4 Cd 2.98, 4 Ge 2.98

***

# 2
A relaxed structure of Hf2CdGe. Source: OQMD, functional PBE.

Output
DFT total energy: -23.9 eV for the cell shown
crystal system: cubic
M_tot: 0.30 μB per atom

abc: 4.8859 4.8859 4.8859
angles: 60.00 60.00 60.00
With the nearest neighbours (Å) after each atom.
Fractional coordinates of all 4 atoms:
Cd 0.2500 0.2500 0.2500  4 Hf 2.99, 4 Ge 2.99
Ge 0.5000 0.5000 0.5000  4 Cd 2.99, 4 Hf 2.99
Hf 0.0000 0.0000 0.0000  4 Cd 2.99, 4 Hf 2.99
Hf 0.7500 0.7500 0.7500  4 Ge 2.99, 4 Hf 2.99

***

# 3
A relaxed structure of HfCd2Ge. Source: OQMD, functional PBE.

Output
DFT total energy: -15.7 eV for the cell shown
crystal system: cubic
M_tot: 0.00 μB per atom

abc: 4.8924 4.8924 4.8924
angles: 60.00 60.00 60.00
With the nearest neighbours (Å) after each atom.
Fractional coordinates of all 4 atoms:
Cd 0.0000 0.0000 0.0000  4 Cd 3.00, 4 Hf 3.00
Cd 0.7500 0.7500 0.7500  4 Cd 3.00, 4 Ge 3.00
Ge 0.5000 0.5000 0.5000  4 Hf 3.00, 4 Cd 3.00
Hf 0.2500 0.2500 0.2500  4 Ge 3.00, 4 Cd 3.00

***

# 4
A relaxed structure of Hf4CdGeN2. Source: OQMD, functional PBE.

Output
DFT total energy: -70.3 eV for the cell shown
crystal system: hexagonal
M_tot: 0.00 μB per atom

abc: 3.2453 3.2453 14.0637
angles: 90.00 90.00 120.00
With the nearest neighbours (Å) after each atom.
Fractional coordinates of all 8 atoms:
Cd 0.0000 0.0000 0.0000  6 Hf 3.09, 6 Cd 3.25
Ge 0.6667 0.3333 0.5000  6 Hf 2.82
Hf 0.6667 0.3333 0.1746  3 N 2.22
Hf 0.0000 0.0000 0.3498  3 N 2.26
Hf 0.0000 0.0000 0.6502  3 N 2.26
Hf 0.6667 0.3333 0.8254  3 N 2.22
N 0.3333 0.6667 0.2599  6 Hf 2.22-2.26
N 0.3333 0.6667 0.7401  6 Hf 2.22-2.26

***

DFT total energy of number 1 (HfCdGe2)?
-19.0 eV for the cell shown

***

The lowest DFT total energy belongs to which entry?
Hf4CdGeN2

***

Please write out number 1 again, unchanged.
A relaxed structure of HfCdGe2. Source: OQMD, functional PBE.

Output
DFT total energy: -19.0 eV for the cell shown
crystal system: cubic
M_tot: 0.00 μB per atom

abc: 4.8597 4.8597 4.8597
angles: 60.00 60.00 60.00
With the nearest neighbours (Å) after each atom.
Fractional coordinates of all 4 atoms:
Cd 0.5000 0.5000 0.5000  4 Hf 2.98, 4 Ge 2.98
Ge 0.0000 0.0000 0.0000  4 Hf 2.98, 4 Ge 2.98
Ge 0.2500 0.2500 0.2500  4 Cd 2.98, 4 Ge 2.98
Hf 0.7500 0.7500 0.7500  4 Cd 2.98, 4 Ge 2.98